! Y2ZnSiNi6, relaxed, DFT PBE; values from VASP
! **E**: -5.827 eV per atom
! **ρ**: 6568 kg/m³
&SYSTEM
  ibrav = 0, nat = 10, ntyp = 4
/
ATOMIC_SPECIES
Si 28.09 Si.upf
Ni 58.69 Ni.upf
Zn 65.41 Zn.upf
Y 88.91 Y.upf
ATOMIC_POSITIONS crystal
Si 0.0000 0.0000 0.0000
Ni 0.5817 0.7505 0.1680
Zn 0.5000 0.5000 0.0000
Ni 0.7539 0.2451 0.9864
Ni 0.4183 0.2495 0.8320
Ni 0.7537 0.7396 0.4917
Y 0.2126 0.7536 0.5410
Ni 0.2461 0.7549 0.0136
Y 0.7874 0.2464 0.4590
Ni 0.2463 0.2604 0.5083
CELL_PARAMETERS angstrom
-3.9649 3.3194 -3.2154
-0.8648 -5.5129 -2.8559
-4.7653 -4.0632 -0.2718

! Y2ZnSi3Ni12, relaxed, DFT PBE; values from VASP
! **E**: -5.720 eV per atom
! **ρ**: 7044 kg/m³
&SYSTEM
  ibrav = 0, nat = 18, ntyp = 4
/
ATOMIC_SPECIES
Ni 58.69 Ni.upf
Si 28.09 Si.upf
Zn 65.41 Zn.upf
Y 88.91 Y.upf
ATOMIC_POSITIONS crystal
Ni 0.1858 0.7040 0.1858
Si 0.5000 0.0000 0.0000
Ni 0.3854 0.3854 0.8996
Ni 0.8996 0.3854 0.3854
Ni 0.7040 0.1858 0.1858
Ni 0.1004 0.6146 0.6146
Ni 0.1858 0.1858 0.7040
Ni 0.6146 0.6146 0.1004
Zn 0.0000 0.0000 0.0000
Si 0.0000 0.5000 0.0000
Ni 0.2960 0.8142 0.8142
Y 0.6558 0.6558 0.6558
Si 0.0000 0.0000 0.5000
Ni 0.3854 0.8996 0.3854
Ni 0.6146 0.1004 0.6146
Ni 0.8142 0.8142 0.2960
Ni 0.8142 0.2960 0.8142
Y 0.3442 0.3442 0.3442
CELL_PARAMETERS angstrom
6.0416 -1.3643 -0.9677
1.7973 5.9272 -0.9677
1.7973 1.0462 5.9138

! YZnSi2Ni, relaxed, DFT PBE; values from VASP
! **E**: -5.522 eV per atom
! **ρ**: 5600 kg/m³
&SYSTEM
  ibrav = 0, nat = 5, ntyp = 4
/
ATOMIC_SPECIES
Y 88.91 Y.upf
Si 28.09 Si.upf
Zn 65.41 Zn.upf
Ni 58.69 Ni.upf
ATOMIC_POSITIONS crystal
Y 0.0000 0.0000 0.0000
Si 0.3829 0.3829 0.7658
Zn 0.7500 0.2500 0.5000
Si 0.6171 0.6171 0.2342
Ni 0.2500 0.7500 0.5000
CELL_PARAMETERS angstrom
-2.7928 -0.7535 -2.7227
1.6278 -3.5583 -0.6849
-2.3571 0.1224 5.2819

! YZn2SiNi, relaxed, DFT PBE; values from VASP
! **E**: -3.960 eV per atom
! **ρ**: 4992 kg/m³
&SYSTEM
  ibrav = 0, nat = 5, ntyp = 4
/
ATOMIC_SPECIES
Zn 65.41 Zn.upf
Si 28.09 Si.upf
Ni 58.69 Ni.upf
Y 88.91 Y.upf
ATOMIC_POSITIONS crystal
Zn 0.0000 0.0000 0.5000
Si 0.5000 0.5000 0.5000
Zn 0.5000 0.0000 0.0000
Ni 0.0000 0.0000 0.0000
Y 0.0000 0.5000 0.0000
CELL_PARAMETERS angstrom
4.5223 0.0000 0.0000
0.0000 4.9857 0.0000
0.0000 0.0000 4.5223